Here is Cs2KCl after structural relaxation from Alexandria. Energies are from PBE.

The raw formation energy is -0.900 eV/atom. Its energy relative to the lowest polymorph listed for this composition is 1.00 kcal/mol of atoms. The calculation puts the energy at -2.062 eV/atom.

It has space group P4/mmm (No. 123), with a = 4.4615 Å, b = 4.4615 Å, c = 12.3765 Å, α = 90.00°, β = 90.00° and γ = 90.00°. The asymmetric unit holds Cs at (0.0000, 0.0000, 0.1646), K at (0.5000, 0.5000, 0.5000) and Cl at (0.5000, 0.5000, 0.0000).

=====

Here is ErMgSiAg after structural relaxation from Alexandria. Energies are from PBE.

The raw formation energy is -0.319 eV/atom. The calculation puts the energy at -3.927 eV/atom.

It has space group F-43m (No. 216), with a = 6.8521 Å, b = 6.8521 Å, c = 6.8521 Å, α = 90.00°, β = 90.00° and γ = 90.00°. The asymmetric unit holds Er at (0.0000, 0.0000, 0.0000), Mg at (0.0000, 0.0000, 0.5000), Si at (0.2500, 0.2500, 0.7500) and Ag at (0.2500, 0.2500, 0.2500).

=====

Here is Be3AgAs3 after structural relaxation from Alexandria. Energies are from PBE.

For the calculated formation energy, the calculation gives 0.042 eV/atom. The calculation puts the energy at -3.955 eV/atom.

It has space group R-3 (No. 148, hexagonal axes), with a = 6.1987 Å, b = 6.1987 Å, c = 21.3933 Å, α = 90.00°, β = 90.00° and γ = 120.00°. The asymmetric unit holds Be at (0.0000, 0.3300, 0.4732), Ag at (0.0000, 0.0000, 0.3340) and As at (0.0029, 0.3306, 0.9109).

=====

Here is TbHoZn2 after structural relaxation from Alexandria. Energies are from PBE.

For the calculated formation energy, the calculation gives -0.341 eV/atom. The calculation puts the energy at -3.280 eV/atom.

It has space group P4/mmm (No. 123), with a = 5.0306 Å, b = 5.0306 Å, c = 3.5897 Å, α = 90.00°, β = 90.00° and γ = 90.00°. The asymmetric unit holds Tb at (0.0000, 0.0000, 0.0000), Ho at (0.5000, 0.5000, 0.0000) and Zn at (0.0000, 0.5000, 0.5000).

=====

Here is KTa2Ni after structural relaxation from Alexandria. Energies are from PBE.

For the calculated formation energy, the calculation gives 0.734 eV/atom. Its energy relative to the lowest polymorph listed for this composition is 5.47 kcal/mol of atoms. The calculation puts the energy at -6.912 eV/atom.

It has space group Immm (No. 71), with a = 2.6952 Å, b = 5.2975 Å, c = 11.2908 Å, α = 90.00°, β = 90.00° and γ = 90.00°. The asymmetric unit holds K at (0.0000, 0.0000, 0.0000), Ta at (0.0000, 0.5000, 0.1994) and Ni at (0.0000, 0.0000, 0.5000).

=====

Here is Re3GePd after structural relaxation from Alexandria. Energies are from PBE.

For the calculated formation energy, the calculation gives 2.628 eV/atom. Its energy relative to the lowest polymorph listed for this composition is 18.34 kcal/mol of atoms. The calculation puts the energy at -6.803 eV/atom.

It has space group Pm-3m (No. 221), with a = 4.7228 Å, b = 4.7228 Å, c = 4.7228 Å, α = 90.00°, β = 90.00° and γ = 90.00°. The asymmetric unit holds Re at (0.0000, 0.0000, 0.5000), Ge at (0.5000, 0.5000, 0.5000) and Pd at (0.0000, 0.0000, 0.0000).